This record from Alexandria via LeMat-Bulk describes a relaxed Sm2HoGe2 crystal. The functional is GGA-PBE.

```
Sm2HoGe2
1.0
4.3489 0.0000 0.0000
0.0000 7.6528 0.0000
0.0000 0.0000 7.6528
Ge Sm Ho
4 4 2
Direct
0.0000 0.1234 0.3766
0.0000 0.6234 0.1234
0.0000 0.8766 0.6234
0.0000 0.3766 0.8766
0.5000 0.3259 0.1741
0.5000 0.8259 0.3259
0.5000 0.1741 0.6741
0.5000 0.6741 0.8259
0.0000 0.0000 0.0000
0.0000 0.5000 0.5000
```

Values from the calculation:
Spin magnetization (μB/cell): 0.0
Crystal system: tetragonal
Mass density (g/cm³): 8.0
DFT total energy (eV/f.u.): -27.19